# K2TiAlTe5

A relaxed structure of K2TiAlTe5 (PBE, Alexandria via LeMat-Bulk).

Summary:
Raw formation energy = -0.696 eV per atom
Total DFT energy (no corrections) = -71.61 eV per cell

abc: 3.9407 11.0449 15.2014
angles: 90.00 90.00 100.28
Closest atoms and distances in Å follow each position.
Positions (direct):
K1 0.8764 0.7528 0.8182  6 Te 3.57-3.62, 2 K 3.94
K2 0.1341 0.2682 0.6884  7 Te 3.55-3.91, 2 K 3.94
K3 0.1236 0.2472 0.3182  6 Te 3.57-3.62, 2 K 3.94
K4 0.8659 0.7318 0.1884  7 Te 3.55-3.91, 2 K 3.94
Ti1 0.7920 0.5841 0.5303  5 Te 2.66-2.90
Ti2 0.2080 0.4159 0.0303  5 Te 2.66-2.90
Al1 0.5780 0.1561 0.9225  4 Te 2.59-2.65
Al2 0.4220 0.8439 0.4225  4 Te 2.59-2.65
Te1 0.3289 0.6578 0.0018  1 Ti 2.66
Te2 0.6981 0.3962 0.8908  1 Al 2.65, 2 Ti 2.90
Te3 0.5119 0.0238 0.7804  1 Al 2.59
Te4 0.2967 0.5934 0.6546  2 Ti 2.73
Te5 0.9315 0.8629 0.5369  2 Al 2.64
Te6 0.6711 0.3422 0.5018  1 Ti 2.66
Te7 0.3019 0.6038 0.3908  1 Al 2.65, 2 Ti 2.90
Te8 0.4881 0.9762 0.2804  1 Al 2.59
Te9 0.7033 0.4066 0.1546  2 Ti 2.73
Te10 0.0685 0.1371 0.0369  2 Al 2.64